i | First-principles (PBE-GGA) data for a relaxed Pm2CuN crystal, as listed in Alexandria via LeMat-Bulk.

Structure (extended XYZ):
```
4
Lattice="3.673 0.000 0.000 1.837 3.181 0.000 1.837 1.060 7.014" Properties=species:S:1:pos:R:3 pbc="T T T"
N 3.673 2.121 3.507
Cu 0.000 0.000 0.000
Pm 5.510 3.181 4.891
Pm 1.837 1.060 2.122
```

## Properties
The value obtained for the density of states at the Fermi level is 1.079 states/eV/atom. The value obtained for the total moment is 0.00 μB per formula unit.


ii | First-principles (PBE-GGA) data for a relaxed Pm2CuN crystal, as listed in Alexandria via LeMat-Bulk.

Structure (extended XYZ):
```
4
Lattice="-2.416 -1.386 -1.675 2.105 -0.866 -2.320 1.156 -5.976 3.280" Properties=species:S:1:pos:R:3 pbc="T T T"
N -0.155 -1.126 -1.997
Cu 0.422 -4.114 -0.357
Pm 0.911 -4.708 2.584
Pm 0.245 -1.268 0.696
```

## Properties
The value obtained for the density of states at the Fermi level is 0.878 states/eV/atom. The value obtained for the total moment is 0.00 μB per formula unit.


The most stable of them is i.


i | First-principles (PBE-GGA) data for a relaxed CuPtN crystal, as listed in Alexandria via LeMat-Bulk.

Structure (extended XYZ):
```
3
Lattice="2.958 0.000 0.000 -1.479 2.562 0.000 0.000 0.000 5.104" Properties=species:S:1:pos:R:3 pbc="T T T"
Cu 0.000 1.708 3.638
Pt 1.479 0.854 1.548
N 0.000 1.708 0.438
```

## Properties
The value obtained for the density of states at the Fermi level is 0.083 states/eV/atom. The value obtained for the total moment is 0.00 μB per formula unit.


ii | First-principles (PBE-GGA) data for a relaxed CuPtN crystal, as listed in Alexandria via LeMat-Bulk.

Structure (extended XYZ):
```
12
Lattice="-2.594 -0.924 2.650 -2.583 -0.464 -2.690 3.194 -11.797 -1.030" Properties=species:S:1:pos:R:3 pbc="T T T"
Cu -1.705 -2.521 2.072
Cu -1.399 -8.651 0.212
Cu 2.090 -11.257 -0.063
Cu -0.798 -5.591 -0.893
Pt 1.396 -8.725 0.166
Pt -1.493 -3.058 -0.664
Pt -0.610 -6.546 1.716
Pt -0.304 -12.677 -0.144
N -0.214 -2.779 0.686
N 0.091 -8.910 -1.174
N 0.621 -5.840 0.412
N 0.927 -11.971 -1.448
```

## Properties
The value obtained for the density of states at the Fermi level is 0.744 states/eV/atom. The value obtained for the total moment is 0.00 μB per formula unit.


The most stable of them is i.


i | First-principles (PBE-GGA) data for a relaxed CuTe2PtN crystal, as listed in Alexandria via LeMat-Bulk.

Structure (extended XYZ):
```
5
Lattice="5.584 0.000 0.000 0.000 5.584 0.000 0.000 0.000 3.646" Properties=species:S:1:pos:R:3 pbc="T T T"
Te 0.000 2.792 0.000
Te 2.792 0.000 0.000
Cu 2.792 2.792 1.823
Pt 0.000 0.000 0.000
N 0.000 0.000 1.823
```

## Properties
The value obtained for the density of states at the Fermi level is 0.672 states/eV/atom. The value obtained for the total moment is 0.00 μB per formula unit.


ii | First-principles (PBE-GGA) data for a relaxed CuTe2PtN crystal, as listed in Alexandria via LeMat-Bulk.

Structure (extended XYZ):
```
5
Lattice="5.278 0.000 0.000 0.000 5.278 0.000 0.000 0.000 3.455" Properties=species:S:1:pos:R:3 pbc="T T T"
Te 0.000 2.639 0.000
Te 2.639 0.000 0.000
Cu 0.000 0.000 0.000
Pt 2.639 2.639 1.727
N 0.000 0.000 1.727
```

## Properties
The value obtained for the density of states at the Fermi level is 0.669 states/eV/atom. The value obtained for the total moment is 0.98 μB per formula unit.


The most stable of them is i.


i | First-principles (PBE-GGA) data for a relaxed RbCuN2 crystal, as listed in Alexandria via LeMat-Bulk.

Structure (extended XYZ):
```
4
Lattice="-3.221 3.991 4.576 -0.801 0.850 6.773 1.260 4.498 5.043" Properties=species:S:1:pos:R:3 pbc="T T T"
Cu 0.000 0.000 0.000
Rb -1.381 4.669 8.196
N -2.521 8.522 14.960
N -0.241 0.816 1.432
```

## Properties
The value obtained for the density of states at the Fermi level is 0.000 states/eV/atom. The value obtained for the total moment is 0.00 μB per formula unit.


ii | First-principles (PBE-GGA) data for a relaxed RbCuN2 crystal, as listed in Alexandria via LeMat-Bulk.

Structure (extended XYZ):
```
4
Lattice="1.861 0.000 6.850 -0.931 1.612 6.850 -0.931 -1.612 6.850" Properties=species:S:1:pos:R:3 pbc="T T T"
Cu 0.000 0.000 10.274
Rb 0.000 0.000 0.000
N 0.000 0.000 17.933
N 0.000 0.000 2.616
```

## Properties
The value obtained for the density of states at the Fermi level is 0.332 states/eV/atom. The value obtained for the total moment is 0.00 μB per formula unit.


The most stable of them is ii.


i | First-principles (PBE-GGA) data for a relaxed RbCuN2 crystal, as listed in Alexandria via LeMat-Bulk.

Structure (extended XYZ):
```
8
Lattice="-2.429 -5.435 0.085 2.683 -1.118 5.196 -2.987 -1.855 4.554" Properties=species:S:1:pos:R:3 pbc="T T T"
Cu 0.127 -3.276 2.641
Cu -0.088 -3.124 6.195
Rb 0.000 0.000 0.000
Rb -2.644 -5.283 3.640
N -1.537 -3.123 1.828
N 0.235 -2.719 4.411
N -1.712 -4.029 6.235
N -2.451 -6.944 7.198
```

## Properties
The value obtained for the density of states at the Fermi level is 0.407 states/eV/atom. The value obtained for the total moment is 1.77 μB per formula unit.


ii | First-principles (PBE-GGA) data for a relaxed RbCuN2 crystal, as listed in Alexandria via LeMat-Bulk.

Structure (extended XYZ):
```
4
Lattice="0.000 3.059 3.059 3.059 0.000 3.059 3.059 3.059 0.000" Properties=species:S:1:pos:R:3 pbc="T T T"
Cu 0.000 0.000 0.000
Rb 3.059 3.059 3.059
N 1.530 1.530 1.530
N 4.589 4.589 4.589
```

## Properties
The value obtained for the density of states at the Fermi level is 1.124 states/eV/atom. The value obtained for the total moment is 0.00 μB per formula unit.


The most stable of them is i.


i | First-principles (PBE-GGA) data for a relaxed RbCu3N crystal, as listed in Alexandria via LeMat-Bulk.

Structure (extended XYZ):
```
5
Lattice="4.310 0.000 0.000 0.000 4.310 0.000 0.000 0.000 4.310" Properties=species:S:1:pos:R:3 pbc="T T T"
Cu 0.000 2.155 0.000
Cu 0.000 0.000 2.155
Cu 2.155 0.000 0.000
Rb 2.155 2.155 2.155
N 0.000 0.000 0.000
```

## Properties
The value obtained for the density of states at the Fermi level is 0.484 states/eV/atom. The value obtained for the total moment is 0.00 μB per formula unit.


ii | First-principles (PBE-GGA) data for a relaxed RbCu3N crystal, as listed in Alexandria via LeMat-Bulk.

Structure (extended XYZ):
```
5
Lattice="5.146 0.000 0.000 0.000 5.146 0.000 0.000 0.000 5.146" Properties=species:S:1:pos:R:3 pbc="T T T"
Cu 0.000 2.573 0.000
Cu 0.000 0.000 2.573
Cu 2.573 0.000 0.000
Rb 0.000 0.000 0.000
N 2.573 2.573 2.573
```

## Properties
The value obtained for the density of states at the Fermi level is 1.114 states/eV/atom. The value obtained for the total moment is 0.00 μB per formula unit.


The most stable of them is i.